A relaxed structure of P2Au, computed with PBE-GGA.

Unit cell a=7.647 b=7.647 c=7.647 alpha=160.07 beta=160.07 gamma=28.33
Fractional coordinates of all 3 atoms:
P: 0.157 0.157 0.000
P: 0.843 0.843 0.000
Au: 0.500 0.500 0.000

Properties
* DFT total energy: -4.050 eV per atom